{"formula": "Li2TlSb", "functional": "PBE", "state": "optimized geometry", "lattice": [[-3.981, -8.215, -1.228], [-0.939, -9.163, 0.040], [-3.473, -8.252, 2.163]], "species": ["Li", "Li", "Sb", "Tl"], "frac_coords": [[0.993, 0.993, 0.993], [0.507, 0.507, 0.507], [0.250, 0.250, 0.250], [0.750, 0.750, 0.750]], "energy_ev_per_cell": -11.29, "formation_energy_uncorrected_ev_per_atom": -0.24, "total_magnetization_mub_per_atom": 0.000}